# 1
# MgTa2Cr SCAN single point on PBEsol structure
data_MgTa2Cr
_cell_length_a 2.662
_cell_length_b 4.456
_cell_length_c 5.582
_cell_angle_alpha 90.00
_cell_angle_beta 90.00
_cell_angle_gamma 90.00
_symmetry_space_group_name_H-M 'P m m 2'
_symmetry_Int_Tables_number 25
_symmetry_space_group_name_Hall 'P 2 -2'
loop_
_atom_site_label
_atom_site_type_symbol
_atom_site_fract_x
_atom_site_fract_y
_atom_site_fract_z
Mg1 Mg 0.000 0.000 0.000
Ta1 Ta 0.000 0.000 0.513
Ta2 Ta 0.500 0.500 0.263
Cr1 Cr 0.500 0.500 0.736
# - total magnetization (μB per formula unit) = 0.009
# - electronic total energy (hartree per atom) = -1.4209

***

# 2
# MgTa2Cr SCAN single point on PBEsol structure
data_MgTa2Cr
_cell_length_a 3.209
_cell_length_b 4.699
_cell_length_c 8.762
_cell_angle_alpha 90.00
_cell_angle_beta 90.00
_cell_angle_gamma 90.00
_symmetry_space_group_name_H-M 'I m m m'
_symmetry_Int_Tables_number 71
_symmetry_space_group_name_Hall '-I 2 2'
loop_
_atom_site_label
_atom_site_type_symbol
_atom_site_fract_x
_atom_site_fract_y
_atom_site_fract_z
Mg1 Mg 0.000 0.000 0.000
Ta1 Ta 0.000 0.500 0.215
Cr1 Cr 0.000 0.000 0.500
# - total magnetization (μB per formula unit) = 0.000
# - electronic total energy (hartree per atom) = -1.4263

***

# 3
# MgTaCr2 SCAN single point on PBEsol structure
data_MgTaCr2
_cell_length_a 2.736
_cell_length_b 4.298
_cell_length_c 5.438
_cell_angle_alpha 90.00
_cell_angle_beta 99.43
_cell_angle_gamma 90.00
_symmetry_space_group_name_H-M 'P 1 2/m 1'
_symmetry_Int_Tables_number 10
_symmetry_space_group_name_Hall '-P 2y'
loop_
_atom_site_label
_atom_site_type_symbol
_atom_site_fract_x
_atom_site_fract_y
_atom_site_fract_z
Mg1 Mg 0.000 0.000 0.000
Ta1 Ta 0.500 0.000 0.500
Cr1 Cr 0.188 0.500 0.684
# - total magnetization (μB per formula unit) = 0.000
# - electronic total energy (hartree per atom) = -0.9790

***

Q: Which of these has the highest electronic total energy?
A: MgTaCr2